# Fe3Pd6Au, optimized geometry, DFT PBE
data_Fe3Pd6Au
_cell_length_a 5.330
_cell_length_b 7.724
_cell_length_c 7.724
_cell_angle_alpha 104.53
_cell_angle_beta 90.00
_cell_angle_gamma 90.00
_space_group_name_H-M_alt 'P 1'
_space_group_IT_number 1
loop_
_space_group_symop_operation_xyz
'x,y,z'
loop_
_atom_site_label
_atom_site_fract_x
_atom_site_fract_y
_atom_site_fract_z
Pd1 0.325 0.946 0.054
Pd2 0.835 0.423 0.032
Pd3 0.605 0.725 0.740
Pd4 0.596 0.310 0.690
Pd5 0.335 0.032 0.423
Pd6 0.105 0.275 0.260
Pd7 0.096 0.690 0.310
Pd8 0.105 0.740 0.725
Pd9 0.605 0.260 0.275
Pd10 0.825 0.054 0.946
Pd11 0.335 0.577 0.968
Pd12 0.835 0.968 0.577
Fe1 0.375 0.265 0.987
Fe2 0.347 0.489 0.511
Fe3 0.875 0.735 0.013
Fe4 0.375 0.013 0.735
Fe5 0.875 0.987 0.265
Fe6 0.847 0.511 0.489
Au1 0.589 0.700 0.300
Au2 0.089 0.300 0.700
# **ΔE to the lowest computed polymorph**: 95.9 meV/atom
# **Total DFT energy (no corrections)**: -5.942 eV per atom
# **SG**: Cmc2_1
# **M_tot**: 10.90 μB per formula unit
# **Energy relative to the elements**: 40 meV per atom


# FePd2Au3, optimized geometry, DFT PBE
data_FePd2Au3
_cell_length_a 4.935
_cell_length_b 7.519
_cell_length_c 7.493
_cell_angle_alpha 68.81
_cell_angle_beta 57.18
_cell_angle_gamma 57.12
_space_group_name_H-M_alt 'P 1'
_space_group_IT_number 1
loop_
_space_group_symop_operation_xyz
'x,y,z'
loop_
_atom_site_label
_atom_site_fract_x
_atom_site_fract_y
_atom_site_fract_z
Pd1 0.385 0.859 0.380
Pd2 0.615 0.141 0.620
Pd3 0.133 0.619 0.125
Pd4 0.867 0.381 0.875
Fe1 0.383 0.535 0.698
Fe2 0.617 0.465 0.302
Au1 0.113 0.296 0.458
Au2 0.867 0.048 0.211
Au3 0.364 0.218 0.036
Au4 0.887 0.704 0.542
Au5 0.636 0.782 0.964
Au6 0.133 0.952 0.789
# **Total DFT energy (no corrections)**: -4.816 eV per atom
# **SG**: P-1
# **M_tot**: 3.61 μB per formula unit
# **Energy relative to the elements**: -36 meV per atom


# Fe2Pd5Au, optimized geometry, DFT PBE
data_Fe2Pd5Au
_cell_length_a 3.933
_cell_length_b 5.542
_cell_length_c 11.080
_cell_angle_alpha 90.00
_cell_angle_beta 90.00
_cell_angle_gamma 90.00
_space_group_name_H-M_alt 'P 1'
_space_group_IT_number 1
loop_
_space_group_symop_operation_xyz
'x,y,z'
loop_
_atom_site_label
_atom_site_fract_x
_atom_site_fract_y
_atom_site_fract_z
Pd1 0.000 0.494 0.749
Pd2 0.000 0.000 0.000
Pd3 0.000 0.006 0.249
Pd4 0.500 0.249 0.626
Pd5 0.500 0.251 0.126
Pd6 0.500 0.751 0.374
Pd7 0.000 0.500 0.500
Pd8 0.000 0.994 0.751
Pd9 0.500 0.749 0.874
Pd10 0.000 0.506 0.251
Au1 0.000 0.000 0.500
Au2 0.000 0.500 0.000
Fe1 0.500 0.262 0.371
Fe2 0.500 0.238 0.871
Fe3 0.500 0.762 0.129
Fe4 0.500 0.738 0.629
# **Total DFT energy (no corrections)**: -5.852 eV per atom
# **SG**: Pbam
# **M_tot**: 8.61 μB per formula unit
# **Energy relative to the elements**: -81 meV per atom


# FePd4Au2, optimized geometry, DFT PBE
data_FePd4Au2
_cell_length_a 4.629
_cell_length_b 4.629
_cell_length_c 7.348
_cell_angle_alpha 108.36
_cell_angle_beta 108.36
_cell_angle_gamma 90.00
_space_group_name_H-M_alt 'P 1'
_space_group_IT_number 1
loop_
_space_group_symop_operation_xyz
'x,y,z'
loop_
_atom_site_label
_atom_site_fract_x
_atom_site_fract_y
_atom_site_fract_z
Au1 0.618 0.618 0.236
Au2 0.382 0.382 0.764
Pd1 0.179 0.179 0.357
Pd2 0.821 0.821 0.643
Pd3 0.000 0.500 0.000
Pd4 0.500 0.000 0.000
Fe1 0.000 0.000 0.000
# **ΔE to the lowest computed polymorph**: 525.7 meV/atom
# **Total DFT energy (no corrections)**: -4.541 eV per atom
# **SG**: I4/mmm
# **M_tot**: 4.41 μB per formula unit
# **Energy relative to the elements**: 572 meV per atom


# FePd5Au, optimized geometry, DFT PBE
data_FePd5Au
_cell_length_a 7.233
_cell_length_b 5.183
_cell_length_c 5.607
_cell_angle_alpha 117.53
_cell_angle_beta 130.17
_cell_angle_gamma 90.00
_space_group_name_H-M_alt 'P 1'
_space_group_IT_number 1
loop_
_space_group_symop_operation_xyz
'x,y,z'
loop_
_atom_site_label
_atom_site_fract_x
_atom_site_fract_y
_atom_site_fract_z
Pd1 0.966 0.500 0.000
Pd2 0.716 0.815 0.630
Pd3 0.276 0.760 0.000
Pd4 0.086 0.185 0.370
Pd5 0.276 0.240 0.000
Fe1 0.593 0.000 0.000
Au1 0.617 0.500 0.000
# **ΔE to the lowest computed polymorph**: 399.5 meV/atom
# **Total DFT energy (no corrections)**: -4.939 eV per atom
# **SG**: Imm2
# **M_tot**: 4.89 μB per formula unit
# **Energy relative to the elements**: 447 meV per atom


# Fe2Pd3Au2, optimized geometry, DFT PBE
data_Fe2Pd3Au2
_cell_length_a 4.363
_cell_length_b 4.364
_cell_length_c 7.370
_cell_angle_alpha 90.01
_cell_angle_beta 107.22
_cell_angle_gamma 119.99
_space_group_name_H-M_alt 'P 1'
_space_group_IT_number 1
loop_
_space_group_symop_operation_xyz
'x,y,z'
loop_
_atom_site_label
_atom_site_fract_x
_atom_site_fract_y
_atom_site_fract_z
Pd1 0.534 0.267 0.801
Pd2 0.000 0.000 0.000
Pd3 0.466 0.733 0.199
Fe1 0.784 0.392 0.176
Fe2 0.216 0.608 0.824
Au1 0.264 0.132 0.395
Au2 0.736 0.868 0.605
# **Total DFT energy (no corrections)**: -5.546 eV per atom
# **SG**: R-3m
# **M_tot**: 7.23 μB per formula unit
# **Energy relative to the elements**: 34 meV per atom


# Fe2Pd5Au2, optimized geometry, DFT PBE
data_Fe2Pd5Au2
_cell_length_a 3.876
_cell_length_b 6.295
_cell_length_c 6.281
_cell_angle_alpha 107.20
_cell_angle_beta 90.00
_cell_angle_gamma 107.93
_space_group_name_H-M_alt 'P 1'
_space_group_IT_number 1
loop_
_space_group_symop_operation_xyz
'x,y,z'
loop_
_atom_site_label
_atom_site_fract_x
_atom_site_fract_y
_atom_site_fract_z
Pd1 0.226 0.451 0.335
Pd2 0.774 0.549 0.665
Pd3 0.334 0.667 0.006
Pd4 0.000 0.000 0.000
Pd5 0.666 0.333 0.994
Au1 0.446 0.893 0.663
Au2 0.554 0.107 0.337
Fe1 0.877 0.754 0.320
Fe2 0.123 0.246 0.680
# **ΔE to the lowest computed polymorph**: 0.0 meV/atom
# **Total DFT energy (no corrections)**: -5.556 eV per atom
# **SG**: C2/m
# **M_tot**: 7.55 μB per formula unit
# **Energy relative to the elements**: -62 meV per atom


# Fe3Pd8Au2, optimized geometry, DFT PBE
data_Fe3Pd8Au2
_cell_length_a 2.866
_cell_length_b 9.032
_cell_length_c 9.365
_cell_angle_alpha 118.82
_cell_angle_beta 90.00
_cell_angle_gamma 90.00
_space_group_name_H-M_alt 'P 1'
_space_group_IT_number 1
loop_
_space_group_symop_operation_xyz
'x,y,z'
loop_
_atom_site_label
_atom_site_fract_x
_atom_site_fract_y
_atom_site_fract_z
Pd1 0.000 0.874 0.747
Pd2 0.000 0.418 0.836
Pd3 0.500 0.120 0.735
Pd4 0.500 0.615 0.735
Pd5 0.500 0.880 0.265
Pd6 0.000 0.126 0.253
Pd7 0.000 0.582 0.164
Pd8 0.500 0.385 0.265
Fe1 0.500 0.000 0.000
Fe2 0.000 0.235 0.000
Fe3 0.000 0.765 0.000
Au1 0.500 0.731 0.463
Au2 0.500 0.269 0.537
# **ΔE to the lowest computed polymorph**: 0.0 meV/atom
# **Total DFT energy (no corrections)**: -5.582 eV per atom
# **SG**: P2/m
# **M_tot**: 11.55 μB per formula unit
# **Energy relative to the elements**: 71 meV per atom